A plane-wave DFT calculation with PBE-GGA was carried out for an optimized crystal structure of TbCu2Pt4.

The calculation puts the total moment at 0.000 μB/atom. The energy of formation from the pure elements comes out at -505.8 meV/atom. Its total energy is -81.05 eV/cell.

Cell lengths 8.4602, 6.7154, 5.1454 Å; angles 90.00, 127.29, 90.00 degrees
Closest atoms and distances in Å follow each position.
Space group C2/m (No. 12)
Inequivalent atoms, fractional coordinates:
Tb  0.0000  0.0000  0.0000 x2  4 Pt 2.85
Cu  0.9997  0.5000  0.2494 x4  2 Cu 2.57-2.58, 8 Pt 2.74-2.75
Pt  0.2003  0.2005  0.7001 x8  4 Pt 2.69-2.74, 4 Cu 2.74-2.75, 1 Tb 2.85